(1)
VASP calculation (PBEsol) on a geometry-optimized LaCrHO5 structure.

Lattice parameters (Å, degrees): 4.6964 6.9677 13.1069 90.00 90.00 107.17
Last column: nearest neighbours and their distance in Å.
Sites, in units of the cell vectors:
H 0.2237 0.5015 0.6501  1 O 0.98
H 0.7237 0.0015 0.8499  1 O 0.98
H 0.2763 0.9985 0.1501  1 O 0.98
H 0.7763 0.4985 0.3499  1 O 0.98
La 0.3670 0.7000 0.4433  9 O 2.42-2.68
La 0.8670 0.2000 0.0567  9 O 2.42-2.68
La 0.6330 0.3000 0.5567  9 O 2.42-2.68
La 0.1330 0.8000 0.9433  9 O 2.42-2.68
O 0.7186 0.6910 0.5962  1 Cr 1.65
O 0.2677 0.9482 0.5695  1 Cr 1.68
O 0.7814 0.8090 0.0962  1 Cr 1.65
O 0.7323 0.0518 0.4305  1 Cr 1.68
O 0.8228 0.5534 0.4191  1 H 0.98
O 0.9343 0.1796 0.2394  1 Cr 1.63
O 0.5657 0.3204 0.7394  1 Cr 1.63
O 0.3228 0.0534 0.0809  1 H 0.98
O 0.2814 0.3090 0.4038  1 Cr 1.65
O 0.3397 0.5704 0.8390  1 Cr 1.62
O 0.6772 0.9466 0.9191  1 H 0.98
O 0.0657 0.8204 0.7606  1 Cr 1.63
O 0.1772 0.4466 0.5809  1 H 0.98
O 0.8397 0.0704 0.6610  1 Cr 1.62
O 0.6603 0.4296 0.1610  1 Cr 1.62
O 0.7677 0.4482 0.9305  1 Cr 1.68
O 0.2323 0.5518 0.0695  1 Cr 1.68
O 0.1603 0.9296 0.3390  1 Cr 1.62
O 0.4343 0.6796 0.2606  1 Cr 1.63
O 0.2186 0.1910 0.9038  1 Cr 1.65
Cr 0.0281 0.1179 0.3518  4 O 1.62-1.68
Cr 0.5281 0.6179 0.1482  4 O 1.62-1.68
Cr 0.4719 0.3821 0.8518  4 O 1.62-1.68
Cr 0.9719 0.8821 0.6482  4 O 1.62-1.68

- Space group: P2_1/c (14)
- Crystal system: monoclinic

---

(2)
VASP calculation (PBEsol) on a geometry-optimized LiCr3H structure.

Lattice parameters (Å, degrees): 3.8254 3.8254 3.8254 90.00 90.00 90.00
Last column: nearest neighbours and their distance in Å.
Sites, in units of the cell vectors:
Cr 0.5000 0.0000 0.0000  2 Li 1.91
Cr 0.0000 0.0000 0.5000  2 Li 1.91
Cr 0.0000 0.5000 0.0000  2 Li 1.91
Li 0.0000 0.0000 0.0000  6 Cr 1.91
H 0.5000 0.5000 0.5000  12 Cr 2.70

- Space group: Pm-3m (221)
- Crystal system: cubic

---

(3)
VASP calculation (PBEsol) on a geometry-optimized Li2Cr2H4O9 structure.

Lattice parameters (Å, degrees): 5.3171 5.3171 12.7085 94.31 94.31 91.81
Last column: nearest neighbours and their distance in Å.
Sites, in units of the cell vectors:
O 0.4847 0.7167 0.3699  2 H 1.00
O 0.4587 0.0592 0.1797  1 Cr 1.62, 1 H 1.74
O 0.2047 0.8101 0.5575  1 Cr 1.60
O 0.9408 0.5413 0.3203  1 Cr 1.62, 1 H 1.74
O 0.7167 0.4847 0.8699  2 H 1.00
O 0.8101 0.2047 0.0575  1 Cr 1.60
O 0.1899 0.7953 0.9425  1 Cr 1.60
O 0.2586 0.2789 0.9134  1 Cr 1.62, 1 H 1.77
O 0.5413 0.9408 0.8203  1 Cr 1.62, 1 H 1.74
O 0.0344 0.9656 0.7500  2 Cr 1.78
O 0.0592 0.4587 0.6797  1 Cr 1.62, 1 H 1.74
O 0.5153 0.2833 0.6301  2 H 1.00
O 0.2833 0.5153 0.1301  2 H 1.00
O 0.7953 0.1899 0.4425  1 Cr 1.60
O 0.7211 0.7414 0.5866  1 Cr 1.62, 1 H 1.77
O 0.2789 0.2586 0.4134  1 Cr 1.62, 1 H 1.77
O 0.9656 0.0344 0.2500  2 Cr 1.78
O 0.7414 0.7211 0.0866  1 Cr 1.62, 1 H 1.77
H 0.3412 0.3241 0.6487  1 O 1.00
H 0.4421 0.5777 0.1022  1 O 1.00
H 0.3241 0.3412 0.1487  1 O 1.00
H 0.5579 0.4223 0.8978  1 O 1.00
H 0.4223 0.5579 0.3978  1 O 1.00
H 0.6759 0.6588 0.8513  1 O 1.00
H 0.6588 0.6759 0.3513  1 O 1.00
H 0.5777 0.4421 0.6022  1 O 1.00
Li 0.0000 0.5000 0.0000  6 O 2.05-2.15
Li 0.5000 0.0000 0.5000  6 O 2.05-2.15
Li 0.7647 0.2353 0.7500  5 O 1.98-2.22
Li 0.2353 0.7647 0.2500  5 O 1.98-2.22
Cr 0.9931 0.2629 0.3599  4 O 1.60-1.78
Cr 0.2629 0.9931 0.8599  4 O 1.60-1.78
Cr 0.0069 0.7371 0.6401  4 O 1.60-1.78
Cr 0.7371 0.0069 0.1401  4 O 1.60-1.78

- Space group: C2/c (15)
- Crystal system: monoclinic

---

no.,electronic total energy (eV per atom)
1,-7.903
2,-4.961
3,-6.580